Entry 1:
TaP2Pb | meta-GGA SCAN | single point on PBEsol structure

Output
uncorrected energy = -1.503 Ha/atom
formation energy from the elements = -96.6 meV per atom
D(E_F) = 1.83 states/eV/f.u.

extended XYZ file:
```
4
Lattice="3.295 0.000 0.000 0.000 3.509 -0.011 -1.647 -1.725 6.897" Properties=species:S:1:pos:R:3 pbc="T T T"
Ta 0.000 1.769 4.060
P 1.647 1.781 5.878
Pb 1.647 1.759 0.667
P 1.647 0.012 3.161
```

Entry 2:
Sr2FeBrO3 | meta-GGA SCAN | single point on PBEsol structure

Output
uncorrected energy = -0.621 Ha/atom
D(E_F) = 0.49 states/eV/f.u.
formation energy without anion corrections = -241.37 kJ/mol of atoms

extended XYZ file:
```
14
Lattice="-3.266 0.046 -2.097 -1.816 -2.005 2.784 -4.156 13.153 6.761" Properties=species:S:1:pos:R:3 pbc="T T T"
Fe -4.984 10.629 4.403
Sr -4.691 10.972 7.547
Sr -3.739 7.959 5.998
O -5.813 9.378 5.667
Sr -2.957 4.215 1.106
O -0.883 2.796 1.437
O -3.272 10.357 5.324
Fe -1.712 1.545 2.701
O -1.197 -0.087 1.863
Sr -2.005 1.202 -0.442
Br -4.077 7.759 2.928
O -5.499 12.260 5.242
Br -2.619 4.415 4.176
O -3.424 1.816 1.781
```